Ac3Nd2Y7: relaxed, PBE.

The structure in CIF format:
```
data_Ac3Nd2Y7
_cell_length_a 3.8024
_cell_length_b 41.2722
_cell_length_c 5.8221
_cell_angle_alpha 90.00
_cell_angle_beta 90.00
_cell_angle_gamma 90.00
_symmetry_space_group_name_H-M 'C m m m'
_symmetry_Int_Tables_number 65
_symmetry_space_group_name_Hall '-C 2 2'
loop_
_atom_site_label
_atom_site_fract_x
_atom_site_fract_y
_atom_site_fract_z
Ac1 0.0000 0.0000 0.0000
Ac2 0.0000 0.3273 0.5000
Nd1 0.0000 0.1374 0.0000
Y1 0.0000 0.0824 0.5000
Y2 0.0000 0.2160 0.0000
Y3 0.0000 0.4305 0.0000
Y4 0.0000 0.5000 0.5000
```

The crystal system is orthorhombic. For the formation energy, the calculation gives 2.88 eV/f.u. Its calculated total energy is -0.3934 Ry/atom.